[1]
This record from Alexandria describes a relaxed structure of ZrTe2Rh. The functional is PBEsol.

abc: 6.9444 6.9444 6.9444
angles: 90.00 90.00 90.00
With the nearest neighbours (Å) after each atom.
Space group F-43m (No. 216)
Symmetry-distinct sites (fractional):
Zr: 0.0000 0.0000 0.0000 x4  4 Te 3.01, 4 Rh 3.01
Te: 0.0000 0.0000 0.5000 x4  4 Te 3.01, 4 Rh 3.01
Te: 0.2500 0.2500 0.2500 x4  4 Zr 3.01, 4 Te 3.01
Rh: 0.2500 0.2500 0.7500 x4  4 Zr 3.01, 4 Te 3.01

Values from the calculation:
The calculation puts the excess energy over the best structure of this formula in the dataset at 212.8 kJ/mol of formula units. Its formation energy without anion corrections is -0.02 eV per atom.

[2]
This record from Alexandria describes a relaxed structure of LiAuIN2. The functional is PBEsol.

abc: 3.9351 3.9351 7.4323
angles: 90.00 90.00 90.00
With the nearest neighbours (Å) after each atom.
Space group P4/mmm (No. 123)
Symmetry-distinct sites (fractional):
Li: 0.0000 0.0000 0.0000 x1  4 I 2.78
Au: 0.5000 0.5000 0.5000 x1  4 N 1.97
I: 0.5000 0.5000 0.0000 x1  4 Li 2.78
N: 0.0000 0.5000 0.5000 x2  2 Au 1.97

Values from the calculation:
Its formation energy without anion corrections is 1.04 eV per atom.

[3]
This record from Alexandria describes a relaxed structure of Zr2CdW. The functional is PBEsol.

abc: 10.3544 2.8914 5.2808
angles: 90.00 99.59 90.00
With the nearest neighbours (Å) after each atom.
Space group Cm (No. 8)
Symmetry-distinct sites (fractional):
Zr: 0.0000 0.0000 0.0000 x2  3 Zr 2.89-3.08, 3 Cd 2.94-3.02, 4 W 3.01-3.02
Zr: 0.2251 0.0000 0.6849 x2  3 Zr 2.89-3.08, 3 W 2.96, 4 Cd 2.99-3.06
Cd: 0.2519 0.5000 0.2017 x2  2 Cd 2.89, 7 Zr 2.94-3.06, 2 W 2.96
W: 0.4784 0.0000 0.4939 x2  2 W 2.89, 2 Cd 2.96, 7 Zr 2.96-3.02

Values from the calculation:
As for the formation energy from the elements: 0.224 eV per atom.

Number 1: DFT total energy -6.095 eV per atom, DOS(E_F) 0.894 states/eV per atom. Number 2: DFT total energy -3.904 eV per atom, DOS(E_F) 0.388 states/eV per atom. Number 3: DFT total energy -8.072 eV per atom, DOS(E_F) 1.138 states/eV per atom.